{"formula": "Hf3Sc5", "functional": "PBE-GGA", "state": "optimized geometry", "spacegroup": "Pmm2", "e_form_kj_per_mol_atoms": 0, "lattice": [[3.239, 0.000, 0.000], [0.000, 5.107, 0.000], [0.000, 0.000, 11.371]], "species": ["Hf", "Hf", "Hf", "Sc", "Sc", "Sc", "Sc", "Sc"], "frac_coords": [[0.000, 0.000, 0.000], [0.000, 0.500, 0.160], [0.500, 0.000, 0.236], [0.000, 0.000, 0.490], [0.000, 0.500, 0.657], [0.500, 0.000, 0.750], [0.500, 0.500, 0.399], [0.500, 0.500, 0.914]]}